# 1
# SrPrAuSe2S GGA-PBE optimized geometry
data_SrPrAuSe2S
_symmetry_space_group_name_H-M 'P 1'
_symmetry_Int_Tables_number 1
_cell_length_a 7.224
_cell_length_b 7.224
_cell_length_c 10.702
_cell_angle_alpha 90.00
_cell_angle_beta 90.00
_cell_angle_gamma 146.14
loop_
_symmetry_equiv_pos_as_xyz
'x,y,z'
loop_
_atom_site_label
_atom_site_fract_x
_atom_site_fract_y
_atom_site_fract_z
Sr1 0.242 0.758 0.750
Sr2 0.758 0.242 0.250
Pr1 0.500 0.500 0.000
Pr2 0.500 0.500 0.500
Au1 0.027 0.973 0.250
Au2 0.973 0.027 0.750
Se1 0.150 0.850 0.062
Se2 0.150 0.850 0.438
Se3 0.850 0.150 0.562
Se4 0.850 0.150 0.938
S1 0.415 0.585 0.250
S2 0.585 0.415 0.750
# Final energy in eV per atom: -4.9720
# Symmetry: Cmcm, No. 63
# Volume in Å³ per cell: 311
# Magnetic moment in μB per cell: 0.0

---

# 2
# HoEr2N3 GGA-PBE optimized geometry
data_HoEr2N3
_symmetry_space_group_name_H-M 'P 1'
_symmetry_Int_Tables_number 1
_cell_length_a 3.423
_cell_length_b 3.423
_cell_length_c 8.391
_cell_angle_alpha 90.00
_cell_angle_beta 90.00
_cell_angle_gamma 120.00
loop_
_symmetry_equiv_pos_as_xyz
'x,y,z'
loop_
_atom_site_label
_atom_site_fract_x
_atom_site_fract_y
_atom_site_fract_z
Ho1 0.000 0.000 0.000
Er1 0.333 0.667 0.333
Er2 0.667 0.333 0.667
N1 0.000 0.000 0.500
N2 0.333 0.667 0.833
N3 0.667 0.333 0.167
# Final energy in eV per atom: -8.2175
# Symmetry: P-3m1, No. 164
# Volume in Å³ per cell: 85
# Magnetic moment in μB per cell: 0.0

---

# 3
# LuCdGaCo GGA-PBE optimized geometry
data_LuCdGaCo
_symmetry_space_group_name_H-M 'P 1'
_symmetry_Int_Tables_number 1
_cell_length_a 4.655
_cell_length_b 4.655
_cell_length_c 4.655
_cell_angle_alpha 60.00
_cell_angle_beta 60.00
_cell_angle_gamma 60.00
loop_
_symmetry_equiv_pos_as_xyz
'x,y,z'
loop_
_atom_site_label
_atom_site_fract_x
_atom_site_fract_y
_atom_site_fract_z
Lu1 0.000 0.000 0.000
Cd1 0.250 0.250 0.250
Ga1 0.500 0.500 0.500
Co1 0.750 0.750 0.750
# Symmetry: F-43m, No. 216
# Volume in Å³ per cell: 71
# Polymorph energy (0 for the lowest one) in eV per atom: 0.027
# Magnetic moment in μB per cell: 0.9

---

# 4
# ScFeSi2 GGA-PBE optimized geometry
data_ScFeSi2
_symmetry_space_group_name_H-M 'P 1'
_symmetry_Int_Tables_number 1
_cell_length_a 4.281
_cell_length_b 4.281
_cell_length_c 4.281
_cell_angle_alpha 60.00
_cell_angle_beta 60.00
_cell_angle_gamma 60.00
loop_
_symmetry_equiv_pos_as_xyz
'x,y,z'
loop_
_atom_site_label
_atom_site_fract_x
_atom_site_fract_y
_atom_site_fract_z
Sc1 0.000 0.000 0.000
Fe1 0.250 0.250 0.250
Si1 0.500 0.500 0.500
Si2 0.750 0.750 0.750
# Final energy in eV per atom: -6.4483
# Symmetry: F-43m, No. 216
# Volume in Å³ per cell: 55
# Magnetic moment in μB per cell: 0.8

---

# 5
# MgPIrO GGA-PBE optimized geometry
data_MgPIrO
_symmetry_space_group_name_H-M 'P 1'
_symmetry_Int_Tables_number 1
_cell_length_a 3.043
_cell_length_b 7.274
_cell_length_c 5.219
_cell_angle_alpha 90.00
_cell_angle_beta 90.00
_cell_angle_gamma 90.00
loop_
_symmetry_equiv_pos_as_xyz
'x,y,z'
loop_
_atom_site_label
_atom_site_fract_x
_atom_site_fract_y
_atom_site_fract_z
Mg1 0.000 0.187 0.000
Mg2 0.000 0.813 0.500
P1 0.000 0.438 0.441
P2 0.000 0.562 0.941
Ir1 0.500 0.215 0.454
Ir2 0.500 0.785 0.954
O1 0.500 0.063 0.837
O2 0.500 0.937 0.337
# Symmetry: Pmc2_1, No. 26
# Volume in Å³ per cell: 116
# Polymorph energy (0 for the lowest one) in eV per atom: 0.542
# Magnetic moment in μB per cell: 0.0

---

# 6
# LaGaPt2 GGA-PBE optimized geometry
data_LaGaPt2
_symmetry_space_group_name_H-M 'P 1'
_symmetry_Int_Tables_number 1
_cell_length_a 7.327
_cell_length_b 4.294
_cell_length_c 10.706
_cell_angle_alpha 90.00
_cell_angle_beta 90.00
_cell_angle_gamma 90.00
loop_
_symmetry_equiv_pos_as_xyz
'x,y,z'
loop_
_atom_site_label
_atom_site_fract_x
_atom_site_fract_y
_atom_site_fract_z
La1 0.166 0.250 0.141
La2 0.334 0.750 0.641
La3 0.666 0.250 0.359
La4 0.834 0.750 0.859
Ga1 0.034 0.750 0.395
Ga2 0.466 0.250 0.895
Ga3 0.534 0.750 0.105
Ga4 0.966 0.250 0.605
Pt1 0.123 0.250 0.812
Pt2 0.221 0.250 0.440
Pt3 0.279 0.750 0.940
Pt4 0.377 0.750 0.312
Pt5 0.623 0.250 0.688
Pt6 0.721 0.250 0.060
Pt7 0.779 0.750 0.560
Pt8 0.877 0.750 0.188
# Final energy in eV per atom: -6.0549
# Symmetry: Pnma, No. 62
# Volume in Å³ per cell: 337
# Magnetic moment in μB per cell: 0.0

---

# 7
# Gd2FeCoSi2C GGA-PBE optimized geometry
data_Gd2FeCoSi2C
_symmetry_space_group_name_H-M 'P 1'
_symmetry_Int_Tables_number 1
_cell_length_a 5.652
_cell_length_b 5.652
_cell_length_c 6.849
_cell_angle_alpha 126.63
_cell_angle_beta 126.63
_cell_angle_gamma 40.56
loop_
_symmetry_equiv_pos_as_xyz
'x,y,z'
loop_
_atom_site_label
_atom_site_fract_x
_atom_site_fract_y
_atom_site_fract_z
Gd1 0.000 0.000 0.000
Gd2 0.124 0.124 0.591
Fe1 0.363 0.363 0.209
Co1 0.762 0.762 0.385
Si1 0.402 0.402 0.583
Si2 0.723 0.723 0.009
C1 0.559 0.559 0.292
# Final energy in eV per atom: -7.0785
# Symmetry: Cm, No. 8
# Volume in Å³ per cell: 110
# Magnetic moment in μB per cell: 0.0

---

# 8
# Li3HPtO4 GGA-PBE optimized geometry
data_Li3HPtO4
_symmetry_space_group_name_H-M 'P 1'
_symmetry_Int_Tables_number 1
_cell_length_a 5.436
_cell_length_b 6.417
_cell_length_c 6.267
_cell_angle_alpha 90.00
_cell_angle_beta 112.23
_cell_angle_gamma 90.00
loop_
_symmetry_equiv_pos_as_xyz
'x,y,z'
loop_
_atom_site_label
_atom_site_fract_x
_atom_site_fract_y
_atom_site_fract_z
Li1 0.022 0.250 0.201
Li2 0.402 0.512 0.669
Li3 0.402 0.988 0.669
Li4 0.598 0.012 0.331
Li5 0.598 0.488 0.331
Li6 0.978 0.750 0.799
H1 0.463 0.750 0.958
H2 0.537 0.250 0.042
Pt1 0.048 0.750 0.271
Pt2 0.952 0.250 0.729
O1 0.233 0.503 0.318
O2 0.233 0.997 0.318
O3 0.303 0.250 0.769
O4 0.321 0.750 0.802
O5 0.679 0.250 0.198
O6 0.697 0.750 0.231
O7 0.767 0.003 0.682
O8 0.767 0.497 0.682
# Final energy in eV per atom: -5.0519
# Symmetry: P2_1/m, No. 11
# Volume in Å³ per cell: 202
# Magnetic moment in μB per cell: 0.0

---

# 9
# ZnCdSn2As4 GGA-PBE optimized geometry
data_ZnCdSn2As4
_symmetry_space_group_name_H-M 'P 1'
_symmetry_Int_Tables_number 1
_cell_length_a 7.405
_cell_length_b 7.405
_cell_length_c 7.405
_cell_angle_alpha 131.73
_cell_angle_beta 131.73
_cell_angle_gamma 70.66
loop_
_symmetry_equiv_pos_as_xyz
'x,y,z'
loop_
_atom_site_label
_atom_site_fract_x
_atom_site_fract_y
_atom_site_fract_z
Zn1 0.000 0.000 0.000
Cd1 0.750 0.250 0.500
Sn1 0.250 0.750 0.500
Sn2 0.500 0.500 0.000
As1 0.119 0.642 0.002
As2 0.358 0.359 0.477
As3 0.641 0.118 0.998
As4 0.882 0.881 0.523
# Final energy in eV per atom: -3.7595
# Symmetry: I-4, No. 82
# Volume in Å³ per cell: 222

---

# 10
# Zr2HgPd3 GGA-PBE optimized geometry
data_Zr2HgPd3
_symmetry_space_group_name_H-M 'P 1'
_symmetry_Int_Tables_number 1
_cell_length_a 3.523
_cell_length_b 3.523
_cell_length_c 8.833
_cell_angle_alpha 90.00
_cell_angle_beta 90.00
_cell_angle_gamma 90.00
loop_
_symmetry_equiv_pos_as_xyz
'x,y,z'
loop_
_atom_site_label
_atom_site_fract_x
_atom_site_fract_y
_atom_site_fract_z
Zr1 0.000 0.000 0.000
Zr2 0.500 0.500 0.471
Hg1 0.000 0.000 0.661
Pd1 0.000 0.000 0.326
Pd2 0.500 0.500 0.152
Pd3 0.500 0.500 0.829
# Symmetry: P4mm, No. 99
# Energy relative to the elements in kJ/mol of formula units: -370
# Volume in Å³ per cell: 110
# Magnetic moment in μB per cell: 0.0

---

# 11
# CsCdPt GGA-PBE optimized geometry
data_CsCdPt
_symmetry_space_group_name_H-M 'P 1'
_symmetry_Int_Tables_number 1
_cell_length_a 5.257
_cell_length_b 5.257
_cell_length_c 5.257
_cell_angle_alpha 60.00
_cell_angle_beta 60.00
_cell_angle_gamma 60.00
loop_
_symmetry_equiv_pos_as_xyz
'x,y,z'
loop_
_atom_site_label
_atom_site_fract_x
_atom_site_fract_y
_atom_site_fract_z
Cs1 0.000 0.000 0.000
Cd1 0.250 0.250 0.250
Pt1 0.500 0.500 0.500
# Symmetry: F-43m, No. 216
# Volume in Å³ per cell: 103
# Polymorph energy (0 for the lowest one) in eV per atom: 0.172
# Magnetic moment in μB per cell: 0.2

---

# 12
# Cs2Li2ZrS4 GGA-PBE optimized geometry
data_Cs2Li2ZrS4
_symmetry_space_group_name_H-M 'P 1'
_symmetry_Int_Tables_number 1
_cell_length_a 7.591
_cell_length_b 7.591
_cell_length_c 6.139
_cell_angle_alpha 90.00
_cell_angle_beta 90.00
_cell_angle_gamma 132.16
loop_
_symmetry_equiv_pos_as_xyz
'x,y,z'
loop_
_atom_site_label
_atom_site_fract_x
_atom_site_fract_y
_atom_site_fract_z
Cs1 0.000 0.500 0.234
Cs2 0.500 0.000 0.766
Li1 0.000 0.000 0.000
Li2 0.500 0.500 0.500
Zr1 0.000 0.000 0.500
S1 0.137 0.327 0.732
S2 0.327 0.137 0.268
S3 0.673 0.863 0.268
S4 0.863 0.673 0.732
# Final energy in eV per atom: -4.8095
# Symmetry: C222, No. 21
# Volume in Å³ per cell: 262
# Magnetic moment in μB per cell: 0.0

---

# 13
# Dy2Y2CI2Br2Cl GGA-PBE optimized geometry
data_Dy2Y2CI2Br2Cl
_symmetry_space_group_name_H-M 'P 1'
_symmetry_Int_Tables_number 1
_cell_length_a 9.533
_cell_length_b 9.533
_cell_length_c 8.033
_cell_angle_alpha 100.76
_cell_angle_beta 100.76
_cell_angle_gamma 23.32
loop_
_symmetry_equiv_pos_as_xyz
'x,y,z'
loop_
_atom_site_label
_atom_site_fract_x
_atom_site_fract_y
_atom_site_fract_z
Dy1 0.130 0.130 0.060
Dy2 0.870 0.870 0.940
Y1 0.498 0.498 0.206
Y2 0.502 0.502 0.794
C1 0.000 0.000 0.000
I1 0.335 0.335 0.647
I2 0.665 0.665 0.353
Br1 0.336 0.336 0.179
Br2 0.664 0.664 0.821
Cl1 0.000 0.000 0.500
# Symmetry: C2/m, No. 12
# Volume in Å³ per cell: 284
# Polymorph energy (0 for the lowest one) in eV per atom: 0.012
# Magnetic moment in μB per cell: 0.0

---

# 14
# LiInPt2 GGA-PBE optimized geometry
data_LiInPt2
_symmetry_space_group_name_H-M 'P 1'
_symmetry_Int_Tables_number 1
_cell_length_a 4.428
_cell_length_b 4.428
_cell_length_c 8.104
_cell_angle_alpha 90.00
_cell_angle_beta 90.00
_cell_angle_gamma 120.00
loop_
_symmetry_equiv_pos_as_xyz
'x,y,z'
loop_
_atom_site_label
_atom_site_fract_x
_atom_site_fract_y
_atom_site_fract_z
Li1 0.000 0.000 0.250
Li2 0.000 0.000 0.750
In1 0.333 0.667 0.250
In2 0.667 0.333 0.750
Pt1 0.333 0.667 0.584
Pt2 0.333 0.667 0.916
Pt3 0.667 0.333 0.084
Pt4 0.667 0.333 0.416
# Final energy in eV per atom: -4.5202
# Symmetry: P6_3/mmc, No. 194
# Volume in Å³ per cell: 138
# Magnetic moment in μB per cell: 0.0

---

# 15
# ErThNi2 GGA-PBE optimized geometry
data_ErThNi2
_symmetry_space_group_name_H-M 'P 1'
_symmetry_Int_Tables_number 1
_cell_length_a 3.646
_cell_length_b 4.337
_cell_length_c 5.445
_cell_angle_alpha 90.00
_cell_angle_beta 109.42
_cell_angle_gamma 90.00
loop_
_symmetry_equiv_pos_as_xyz
'x,y,z'
loop_
_atom_site_label
_atom_site_fract_x
_atom_site_fract_y
_atom_site_fract_z
Er1 0.000 0.000 0.000
Th1 0.727 0.500 0.453
Ni1 0.283 0.000 0.565
Ni2 0.442 0.500 0.883
# Symmetry: Pm, No. 6
# Energy relative to the elements in kJ/mol of formula units: -185
# Volume in Å³ per cell: 81
# Magnetic moment in μB per cell: 0.0

---

# 16
# LaNdSb GGA-PBE optimized geometry
data_LaNdSb
_symmetry_space_group_name_H-M 'P 1'
_symmetry_Int_Tables_number 1
_cell_length_a 5.302
_cell_length_b 5.302
_cell_length_c 5.302
_cell_angle_alpha 60.00
_cell_angle_beta 60.00
_cell_angle_gamma 60.00
loop_
_symmetry_equiv_pos_as_xyz
'x,y,z'
loop_
_atom_site_label
_atom_site_fract_x
_atom_site_fract_y
_atom_site_fract_z
La1 0.000 0.000 0.000
Nd1 0.500 0.500 0.500
Sb1 0.250 0.250 0.250
# Final energy in eV per atom: -5.2903
# Symmetry: F-43m, No. 216
# Volume in Å³ per cell: 105
# Magnetic moment in μB per cell: 0.0

---

# 17
# Hf2ZrAl GGA-PBE optimized geometry
data_Hf2ZrAl
_symmetry_space_group_name_H-M 'P 1'
_symmetry_Int_Tables_number 1
_cell_length_a 4.886
_cell_length_b 4.886
_cell_length_c 4.886
_cell_angle_alpha 60.00
_cell_angle_beta 60.00
_cell_angle_gamma 60.00
loop_
_symmetry_equiv_pos_as_xyz
'x,y,z'
loop_
_atom_site_label
_atom_site_fract_x
_atom_site_fract_y
_atom_site_fract_z
Hf1 0.000 0.000 0.000
Hf2 0.250 0.250 0.250
Zr1 0.750 0.750 0.750
Al1 0.500 0.500 0.500
# Final energy in eV per atom: -8.1068
# Symmetry: F-43m, No. 216
# Volume in Å³ per cell: 82
# Magnetic moment in μB per cell: 0.8

---

# 18
# GaSbPt2 GGA-PBE optimized geometry
data_GaSbPt2
_symmetry_space_group_name_H-M 'P 1'
_symmetry_Int_Tables_number 1
_cell_length_a 4.046
_cell_length_b 4.046
_cell_length_c 5.457
_cell_angle_alpha 90.00
_cell_angle_beta 90.00
_cell_angle_gamma 120.00
loop_
_symmetry_equiv_pos_as_xyz
'x,y,z'
loop_
_atom_site_label
_atom_site_fract_x
_atom_site_fract_y
_atom_site_fract_z
Ga1 0.000 0.000 0.000
Sb1 0.667 0.333 0.500
Pt1 0.333 0.667 0.244
Pt2 0.333 0.667 0.756
# Final energy in eV per atom: -5.3376
# Symmetry: P-6m2, No. 187
# Volume in Å³ per cell: 77
# Magnetic moment in μB per cell: 0.0

---

# 19
# PuBi GGA-PBE optimized geometry
data_PuBi
_symmetry_space_group_name_H-M 'P 1'
_symmetry_Int_Tables_number 1
_cell_length_a 3.563
_cell_length_b 3.563
_cell_length_c 5.251
_cell_angle_alpha 90.00
_cell_angle_beta 90.00
_cell_angle_gamma 120.00
loop_
_symmetry_equiv_pos_as_xyz
'x,y,z'
loop_
_atom_site_label
_atom_site_fract_x
_atom_site_fract_y
_atom_site_fract_z
Pu1 0.000 0.000 0.000
Bi1 0.333 0.667 0.500
# Final energy in eV per atom: -9.3547
# Symmetry: P-6m2, No. 187
# Volume in Å³ per cell: 58
# Magnetic moment in μB per cell: 6.3

---

# 20
# TlNiMoPt GGA-PBE optimized geometry
data_TlNiMoPt
_symmetry_space_group_name_H-M 'P 1'
_symmetry_Int_Tables_number 1
_cell_length_a 4.507
_cell_length_b 4.507
_cell_length_c 4.507
_cell_angle_alpha 60.00
_cell_angle_beta 60.00
_cell_angle_gamma 60.00
loop_
_symmetry_equiv_pos_as_xyz
'x,y,z'
loop_
_atom_site_label
_atom_site_fract_x
_atom_site_fract_y
_atom_site_fract_z
Tl1 0.000 0.000 0.000
Ni1 0.250 0.250 0.250
Mo1 0.750 0.750 0.750
Pt1 0.500 0.500 0.500
# Symmetry: F-43m, No. 216
# Volume in Å³ per cell: 65
# Polymorph energy (0 for the lowest one) in eV per atom: 0.000
# Magnetic moment in μB per cell: 0.0